DFT (PBE) results for crystalline TaBPd2S at its relaxed geometry.

- Crystal system: tetragonal
- Total magnetization: 0.0 μB per formula unit
- Energy relative to the elements, uncorrected: 10.87 kcal/mol of atoms

Unit cell a=4.010 b=4.010 c=4.715 alpha=90.00 beta=90.00 gamma=90.00
Fractional positions:
Ta  0.000  0.000  0.000
B  0.500  0.500  0.500
Pd  0.000  0.500  0.500
Pd  0.500  0.000  0.500
S  0.500  0.500  0.000